{
  "formula": "RbPmAuSe2",
  "functional": "PBE",
  "state": "relaxed",
  "space_group": "P2/c",
  "energy_ev_per_atom": -4.29,
  "formation_energy_uncorrected_ev_per_atom": -1.095,
  "m_tot_mub_per_cell": 0.00,
  "cell": [[-3.530, -3.379, 1.232], [4.868, -3.011, 5.688], [-3.888, 5.700, 4.495]],
  "species": ["Se", "Se", "Se", "Se", "Rb", "Rb", "Pm", "Pm", "Au", "Au"],
  "frac_coords": [[0.343, 0.759, 0.465], [0.657, 0.759, 0.965], [0.343, 0.241, 0.035], [0.657, 0.241, 0.535], [0.856, 0.500, 0.250], [0.144, 0.500, 0.750], [0.507, 0.000, 0.750], [0.493, 0.000, 0.250], [0.000, 0.000, 0.500], [0.000, 0.000, 0.000]]
}

---

{
  "formula": "RbPm2AuSe4",
  "functional": "PBE",
  "state": "relaxed",
  "space_group": "Cmcm",
  "energy_ev_per_atom": -4.91,
  "formation_energy_uncorrected_ev_per_atom": -1.454,
  "m_tot_mub_per_cell": 0.00,
  "cell": [[4.284, 0.000, 0.000], [-2.142, 7.313, 0.000], [0.000, 0.000, 14.951]],
  "species": ["Se", "Se", "Se", "Se", "Se", "Se", "Se", "Se", "Pm", "Pm", "Pm", "Pm", "Rb", "Rb", "Au", "Au"],
  "frac_coords": [[0.000, 0.000, 0.000], [0.000, 0.000, 0.500], [0.553, 0.107, 0.250], [0.737, 0.474, 0.895], [0.263, 0.526, 0.105], [0.263, 0.526, 0.395], [0.447, 0.893, 0.750], [0.737, 0.474, 0.605], [0.368, 0.737, 0.932], [0.368, 0.737, 0.568], [0.632, 0.263, 0.432], [0.632, 0.263, 0.068], [0.121, 0.242, 0.750], [0.879, 0.758, 0.250], [0.844, 0.688, 0.750], [0.156, 0.312, 0.250]]
}

---

{
  "formula": "RbPmTe3Au",
  "functional": "PBE",
  "state": "relaxed",
  "space_group": "Cmcm",
  "energy_ev_per_atom": -4.00,
  "formation_energy_uncorrected_ev_per_atom": -0.931,
  "m_tot_mub_per_cell": 0.00,
  "cell": [[4.372, 0.000, 0.000], [-2.186, 8.710, 0.000], [0.000, 0.000, 11.413]],
  "species": ["Au", "Au", "Te", "Te", "Te", "Te", "Te", "Te", "Rb", "Rb", "Pm", "Pm"],
  "frac_coords": [[0.525, 0.050, 0.250], [0.475, 0.950, 0.750], [0.375, 0.750, 0.561], [0.375, 0.750, 0.939], [0.078, 0.156, 0.750], [0.625, 0.250, 0.061], [0.625, 0.250, 0.439], [0.922, 0.844, 0.250], [0.245, 0.490, 0.250], [0.755, 0.510, 0.750], [0.000, 0.000, 0.000], [0.000, 0.000, 0.500]]
}

---

{
  "formula": "RbPm2Te4Au",
  "functional": "PBE",
  "state": "relaxed",
  "space_group": "Cmcm",
  "energy_ev_per_atom": -4.45,
  "formation_energy_uncorrected_ev_per_atom": -1.159,
  "m_tot_mub_per_cell": 0.00,
  "cell": [[4.524, 0.000, 0.000], [-2.262, 7.782, 0.000], [0.000, 0.000, 15.925]],
  "species": ["Rb", "Rb", "Te", "Te", "Te", "Te", "Te", "Te", "Te", "Te", "Pm", "Pm", "Pm", "Pm", "Au", "Au"],
  "frac_coords": [[0.124, 0.247, 0.750], [0.876, 0.753, 0.250], [0.000, 0.000, 0.000], [0.265, 0.530, 0.392], [0.000, 0.000, 0.500], [0.448, 0.896, 0.750], [0.735, 0.470, 0.608], [0.265, 0.530, 0.108], [0.552, 0.104, 0.250], [0.735, 0.470, 0.892], [0.368, 0.737, 0.570], [0.632, 0.263, 0.430], [0.368, 0.737, 0.930], [0.632, 0.263, 0.070], [0.155, 0.311, 0.250], [0.845, 0.689, 0.750]]
}

---

{
  "formula": "RbPmTe2Au",
  "functional": "PBE",
  "state": "relaxed",
  "space_group": "P2/c",
  "energy_ev_per_atom": -3.95,
  "formation_energy_uncorrected_ev_per_atom": -0.894,
  "m_tot_mub_per_cell": 0.00,
  "cell": [[-3.164, -1.916, 3.313], [-1.247, -7.075, -5.282], [6.630, -3.074, 4.555]],
  "species": ["Au", "Au", "Te", "Te", "Te", "Te", "Pm", "Pm", "Rb", "Rb"],
  "frac_coords": [[0.000, 0.000, 0.500], [0.000, 0.000, 0.000], [0.671, 0.758, 0.968], [0.329, 0.242, 0.032], [0.329, 0.758, 0.468], [0.671, 0.242, 0.532], [0.495, 0.000, 0.250], [0.505, 0.000, 0.750], [0.159, 0.500, 0.750], [0.841, 0.500, 0.250]]
}

---

{
  "formula": "Pm5RhAu2",
  "functional": "PBE",
  "state": "relaxed",
  "space_group": "Pbam",
  "energy_ev_per_atom": -5.32,
  "formation_energy_ev_per_atom": -0.62,
  "m_tot_mub_per_cell": 0.00,
  "cell": [[-3.939, 2.752, -0.175], [-0.377, -1.025, -7.622], [-6.771, -9.586, 1.625]],
  "species": ["Au", "Au", "Au", "Au", "Rh", "Rh", "Pm", "Pm", "Pm", "Pm", "Pm", "Pm", "Pm", "Pm", "Pm", "Pm"],
  "frac_coords": [[0.500, 0.930, 0.665], [0.500, 0.070, 0.335], [0.500, 0.430, 0.835], [0.500, 0.570, 0.165], [0.000, 0.000, 0.000], [0.000, 0.500, 0.500], [0.500, 0.182, 0.083], [0.000, 0.347, 0.295], [0.000, 0.500, 0.000], [0.000, 0.153, 0.795], [0.000, 0.653, 0.705], [0.000, 0.000, 0.500], [0.000, 0.847, 0.205], [0.500, 0.818, 0.917], [0.500, 0.318, 0.583], [0.500, 0.682, 0.417]]
}

---

{
  "formula": "Pm12Rh6Au",
  "functional": "PBE",
  "state": "relaxed",
  "space_group": "Im-3",
  "energy_ev_per_atom": -6.03,
  "formation_energy_ev_per_atom": -0.54,
  "m_tot_mub_per_cell": 0.00,
  "cell": [[-8.662, 0.985, 0.303], [2.019, -6.228, -5.764], [2.945, -2.275, 7.889]],
  "species": ["Pm", "Pm", "Pm", "Pm", "Pm", "Pm", "Pm", "Pm", "Pm", "Pm", "Pm", "Pm", "Rh", "Rh", "Rh", "Rh", "Rh", "Rh", "Au"],
  "frac_coords": [[0.883, 0.185, 0.698], [0.698, 0.513, 0.815], [0.698, 0.883, 0.185], [0.302, 0.117, 0.815], [0.815, 0.698, 0.513], [0.513, 0.815, 0.698], [0.302, 0.487, 0.185], [0.185, 0.698, 0.883], [0.815, 0.302, 0.117], [0.487, 0.185, 0.302], [0.117, 0.815, 0.302], [0.185, 0.302, 0.487], [0.366, 0.500, 0.866], [0.500, 0.134, 0.634], [0.500, 0.866, 0.366], [0.866, 0.366, 0.500], [0.634, 0.500, 0.134], [0.134, 0.634, 0.500], [0.000, 0.000, 0.000]]
}

---

{
  "formula": "Pm6RhAu5",
  "functional": "PBE",
  "state": "relaxed",
  "space_group": "C2/m",
  "energy_ev_per_atom": -5.12,
  "formation_energy_ev_per_atom": -0.76,
  "m_tot_mub_per_cell": 0.00,
  "cell": [[-3.228, 2.655, -3.045], [1.440, -7.887, -3.999], [-3.463, 0.215, 8.260]],
  "species": ["Au", "Au", "Au", "Au", "Au", "Pm", "Pm", "Pm", "Pm", "Pm", "Pm", "Rh"],
  "frac_coords": [[0.500, 0.825, 0.175], [0.500, 0.500, 0.500], [0.500, 0.175, 0.825], [0.000, 0.335, 0.665], [0.000, 0.665, 0.335], [0.756, 0.918, 0.594], [0.739, 0.240, 0.240], [0.244, 0.406, 0.082], [0.756, 0.594, 0.918], [0.261, 0.760, 0.760], [0.244, 0.082, 0.406], [0.000, 0.000, 0.000]]
}